<w>
VASP calculation (GGA-PBE) on a relaxed structure of TaBPb. Values from VASP.

Summary:
V (Å³/cell): 62
Size of the total moment (μB/f.u.): 0.01

```
&SYSTEM
  ibrav = 0, nat = 3, ntyp = 3
/
ATOMIC_SPECIES
Pb 207.20 Pb.upf
B 10.81 B.upf
Ta 180.95 Ta.upf
ATOMIC_POSITIONS crystal
Pb 0.750 0.750 0.750
B 0.250 0.250 0.250
Ta 0.000 0.000 0.000
CELL_PARAMETERS angstrom
0.000 3.142 3.142
3.142 0.000 3.142
3.142 3.142 0.000
```

<x>
VASP calculation (GGA-PBE) on a relaxed structure of TaBPb. Values from VASP.

Summary:
V (Å³/cell): 66
Size of the total moment (μB/f.u.): 1.43

```
&SYSTEM
  ibrav = 0, nat = 3, ntyp = 3
/
ATOMIC_SPECIES
Pb 207.20 Pb.upf
B 10.81 B.upf
Ta 180.95 Ta.upf
ATOMIC_POSITIONS crystal
Pb 0.000 0.000 0.000
B 0.250 0.250 0.250
Ta 0.750 0.750 0.750
CELL_PARAMETERS angstrom
0.000 3.209 3.209
3.209 0.000 3.209
3.209 3.209 0.000
```

Relative energies in kJ/mol of atoms: <w> 0.0; <x> 58.7

<w>
VASP calculation (GGA-PBE) on a relaxed structure of TaB4Pb. Values from VASP.

Summary:
V (Å³/cell): 73
Size of the total moment (μB/f.u.): 0.00

```
&SYSTEM
  ibrav = 0, nat = 6, ntyp = 3
/
ATOMIC_SPECIES
B 10.81 B.upf
Pb 207.20 Pb.upf
Ta 180.95 Ta.upf
ATOMIC_POSITIONS crystal
B 0.333 0.667 0.314
B 0.667 0.333 0.314
B 0.667 0.333 0.686
B 0.333 0.667 0.686
Pb 0.000 0.000 0.000
Ta 0.000 0.000 0.500
CELL_PARAMETERS angstrom
3.085 0.000 0.000
-1.543 2.672 0.000
0.000 0.000 8.836
```

<x>
VASP calculation (GGA-PBE) on a relaxed structure of TaB4Pb. Values from VASP.

Summary:
V (Å³/cell): 66
Size of the total moment (μB/f.u.): 0.00

```
&SYSTEM
  ibrav = 0, nat = 6, ntyp = 3
/
ATOMIC_SPECIES
Pb 207.20 Pb.upf
B 10.81 B.upf
Ta 180.95 Ta.upf
ATOMIC_POSITIONS crystal
Pb 0.000 0.000 0.000
B 0.581 0.245 0.336
B 0.091 0.755 0.336
B 0.909 0.245 0.664
B 0.419 0.755 0.664
Ta 0.500 0.500 0.000
CELL_PARAMETERS angstrom
0.318 -4.237 2.620
-0.177 1.780 4.661
-2.640 -0.570 -4.198
```

Relative energies in kJ/mol of atoms: <w> 0.0; <x> 46.0

<w>
VASP calculation (GGA-PBE) on a relaxed structure of ThBPb. Values from VASP.

Summary:
V (Å³/cell): 83
Size of the total moment (μB/f.u.): 0.00

```
&SYSTEM
  ibrav = 0, nat = 3, ntyp = 3
/
ATOMIC_SPECIES
B 10.81 B.upf
Pb 207.20 Pb.upf
Th 232.04 Th.upf
ATOMIC_POSITIONS crystal
B 0.250 0.250 0.250
Pb 0.000 0.000 0.000
Th 0.750 0.750 0.750
CELL_PARAMETERS angstrom
0.000 3.466 3.466
3.466 0.000 3.466
3.466 3.466 0.000
```

<x>
VASP calculation (GGA-PBE) on a relaxed structure of ThBPb. Values from VASP.

Summary:
V (Å³/cell): 70
Size of the total moment (μB/f.u.): 0.00

```
&SYSTEM
  ibrav = 0, nat = 3, ntyp = 3
/
ATOMIC_SPECIES
Th 232.04 Th.upf
B 10.81 B.upf
Pb 207.20 Pb.upf
ATOMIC_POSITIONS crystal
Th 0.750 0.750 0.750
B 0.000 0.000 0.000
Pb 0.250 0.250 0.250
CELL_PARAMETERS angstrom
4.495 -0.996 0.414
1.435 -4.383 -0.312
2.410 -1.386 -3.693
```

Relative energies in kJ/mol of atoms: <w> 92.6; <x> 0.0

<w>
VASP calculation (GGA-PBE) on a relaxed structure of ThB4Pb. Values from VASP.

Summary:
V (Å³/cell): 80
Size of the total moment (μB/f.u.): 0.00

```
&SYSTEM
  ibrav = 0, nat = 6, ntyp = 3
/
ATOMIC_SPECIES
B 10.81 B.upf
Th 232.04 Th.upf
Pb 207.20 Pb.upf
ATOMIC_POSITIONS crystal
B 0.438 0.760 0.678
B 0.562 0.240 0.322
B 0.918 0.240 0.678
B 0.082 0.760 0.322
Th 0.500 0.500 0.000
Pb 0.000 0.000 0.000
CELL_PARAMETERS angstrom
-0.819 -2.076 5.030
-5.239 -1.626 0.442
4.799 -0.802 -2.572
```

<x>
VASP calculation (GGA-PBE) on a relaxed structure of ThB4Pb. Values from VASP.

Summary:
V (Å³/cell): 82
Size of the total moment (μB/f.u.): 0.00

```
&SYSTEM
  ibrav = 0, nat = 6, ntyp = 3
/
ATOMIC_SPECIES
Th 232.04 Th.upf
B 10.81 B.upf
Pb 207.20 Pb.upf
ATOMIC_POSITIONS crystal
Th 0.000 0.000 0.500
B 0.667 0.333 0.733
B 0.333 0.667 0.733
B 0.667 0.333 0.267
B 0.333 0.667 0.267
Pb 0.000 0.000 0.000
CELL_PARAMETERS angstrom
-2.427 2.043 0.858
-0.428 -3.250 0.233
3.060 0.185 8.218
```

Relative energies in kJ/mol of atoms: <w> 0.0; <x> 3.5